1.
# LaCePmLu | Alexandria via LeMat-Bulk | GGA-PBE | relaxed
data_LaCePmLu
_space_group_name_H-M_alt 'F -4 3 m'
_space_group_IT_number 216
_space_group_name_Hall 'F -4 2 3'
_cell_length_a 8.1252
_cell_length_b 8.1252
_cell_length_c 8.1252
_cell_angle_alpha 90.00
_cell_angle_beta 90.00
_cell_angle_gamma 90.00
loop_
_atom_site_label
_atom_site_type_symbol
_atom_site_fract_x
_atom_site_fract_y
_atom_site_fract_z
La1 La 0.0000 0.0000 0.0000
Ce1 Ce 0.2500 0.2500 0.2500
Pm1 Pm 0.0000 0.0000 0.5000
Lu1 Lu 0.2500 0.2500 0.7500
# calculated total energy: -4.84 eV per atom
# density of states at the Fermi level: 2.754 states/eV/atom
# energy of formation from the pure elements: 0.79 eV/f.u.


2.
# LaCeLuSc | Alexandria via LeMat-Bulk | GGA-PBE | relaxed
data_LaCeLuSc
_space_group_name_H-M_alt 'F -4 3 m'
_space_group_IT_number 216
_space_group_name_Hall 'F -4 2 3'
_cell_length_a 7.8774
_cell_length_b 7.8774
_cell_length_c 7.8774
_cell_angle_alpha 90.00
_cell_angle_beta 90.00
_cell_angle_gamma 90.00
loop_
_atom_site_label
_atom_site_type_symbol
_atom_site_fract_x
_atom_site_fract_y
_atom_site_fract_z
La1 La 0.0000 0.0000 0.0000
Ce1 Ce 0.0000 0.0000 0.5000
Lu1 Lu 0.2500 0.2500 0.2500
Sc1 Sc 0.2500 0.2500 0.7500
# calculated total energy: -5.31 eV per atom
# density of states at the Fermi level: 2.032 states/eV/atom
# energy of formation from the pure elements: 0.49 eV/f.u.


3.
# LaTbCeLu | Alexandria via LeMat-Bulk | GGA-PBE | relaxed
data_LaTbCeLu
_space_group_name_H-M_alt 'F -4 3 m'
_space_group_IT_number 216
_space_group_name_Hall 'F -4 2 3'
_cell_length_a 8.0602
_cell_length_b 8.0602
_cell_length_c 8.0602
_cell_angle_alpha 90.00
_cell_angle_beta 90.00
_cell_angle_gamma 90.00
loop_
_atom_site_label
_atom_site_type_symbol
_atom_site_fract_x
_atom_site_fract_y
_atom_site_fract_z
La1 La 0.0000 0.0000 0.0000
Tb1 Tb 0.2500 0.2500 0.2500
Ce1 Ce 0.0000 0.0000 0.5000
Lu1 Lu 0.2500 0.2500 0.7500
# energy above the most stable polymorph in this dataset: 0.0000 eV/atom
# calculated total energy: -4.85 eV per atom
# density of states at the Fermi level: 2.393 states/eV/atom
# energy of formation from the pure elements: 0.60 eV/f.u.


4.
# LaCeLuTl | Alexandria via LeMat-Bulk | GGA-PBE | relaxed
data_LaCeLuTl
_space_group_name_H-M_alt 'F -4 3 m'
_space_group_IT_number 216
_space_group_name_Hall 'F -4 2 3'
_cell_length_a 7.7559
_cell_length_b 7.7559
_cell_length_c 7.7559
_cell_angle_alpha 90.00
_cell_angle_beta 90.00
_cell_angle_gamma 90.00
loop_
_atom_site_label
_atom_site_type_symbol
_atom_site_fract_x
_atom_site_fract_y
_atom_site_fract_z
La1 La 0.0000 0.0000 0.0000
Ce1 Ce 0.2500 0.2500 0.7500
Lu1 Lu 0.0000 0.0000 0.5000
Tl1 Tl 0.2500 0.2500 0.2500
# calculated total energy: -4.41 eV per atom
# density of states at the Fermi level: 1.852 states/eV/atom
# energy of formation from the pure elements: 0.10 eV/f.u.


5.
# LaCeYLu | Alexandria via LeMat-Bulk | GGA-PBE | relaxed
data_LaCeYLu
_space_group_name_H-M_alt 'F -4 3 m'
_space_group_IT_number 216
_space_group_name_Hall 'F -4 2 3'
_cell_length_a 8.0770
_cell_length_b 8.0770
_cell_length_c 8.0770
_cell_angle_alpha 90.00
_cell_angle_beta 90.00
_cell_angle_gamma 90.00
loop_
_atom_site_label
_atom_site_type_symbol
_atom_site_fract_x
_atom_site_fract_y
_atom_site_fract_z
La1 La 0.0000 0.0000 0.0000
Ce1 Ce 0.0000 0.0000 0.5000
Y1 Y 0.2500 0.2500 0.7500
Lu1 Lu 0.2500 0.2500 0.2500
# calculated total energy: -5.32 eV per atom
# density of states at the Fermi level: 2.238 states/eV/atom
# energy of formation from the pure elements: 0.57 eV/f.u.


6.
# La2CeMg | Alexandria via LeMat-Bulk | GGA-PBE | relaxed
data_La2CeMg
_space_group_name_H-M_alt 'R -3 m'
_space_group_IT_number 166
_space_group_name_Hall '-R 3 2"'
_cell_length_a 3.3475
_cell_length_b 3.3475
_cell_length_c 37.3956
_cell_angle_alpha 90.00
_cell_angle_beta 90.00
_cell_angle_gamma 120.00
loop_
_atom_site_label
_atom_site_type_symbol
_atom_site_fract_x
_atom_site_fract_y
_atom_site_fract_z
La1 La 0.0000 0.0000 0.0857
Ce1 Ce 0.0000 0.0000 0.0000
Mg1 Mg 0.0000 0.0000 0.5000
# energy above the most stable polymorph in this dataset: 0.1905 eV/atom
# calculated total energy: -4.17 eV per atom
# density of states at the Fermi level: 1.525 states/eV/atom
# energy of formation from the pure elements: 0.71 eV/f.u.


7.
# LaCe2Mg | Alexandria via LeMat-Bulk | GGA-PBE | relaxed
data_LaCe2Mg
_space_group_name_H-M_alt 'P 4/m m m'
_space_group_IT_number 123
_space_group_name_Hall '-P 4 2'
_cell_length_a 3.3934
_cell_length_b 3.3934
_cell_length_c 10.1536
_cell_angle_alpha 90.00
_cell_angle_beta 90.00
_cell_angle_gamma 90.00
loop_
_atom_site_label
_atom_site_type_symbol
_atom_site_fract_x
_atom_site_fract_y
_atom_site_fract_z
La1 La 0.0000 0.0000 0.0000
Ce1 Ce 0.5000 0.5000 0.2600
Mg1 Mg 0.0000 0.0000 0.5000
# energy above the most stable polymorph in this dataset: 0.0008 eV/atom
# calculated total energy: -4.50 eV per atom
# density of states at the Fermi level: 2.727 states/eV/atom
# energy of formation from the pure elements: 0.40 eV/f.u.


8.
# LaCe2Mg | Alexandria via LeMat-Bulk | GGA-PBE | relaxed
data_LaCe2Mg
_space_group_name_H-M_alt 'P 4/m m m'
_space_group_IT_number 123
_space_group_name_Hall '-P 4 2'
_cell_length_a 4.8292
_cell_length_b 4.8292
_cell_length_c 5.1069
_cell_angle_alpha 90.00
_cell_angle_beta 90.00
_cell_angle_gamma 90.00
loop_
_atom_site_label
_atom_site_type_symbol
_atom_site_fract_x
_atom_site_fract_y
_atom_site_fract_z
La1 La 0.0000 0.0000 0.0000
Ce1 Ce 0.0000 0.5000 0.5000
Mg1 Mg 0.5000 0.5000 0.0000
# energy above the most stable polymorph in this dataset: 0.0000 eV/atom
# calculated total energy: -4.50 eV per atom
# density of states at the Fermi level: 3.026 states/eV/atom
# energy of formation from the pure elements: 0.40 eV/f.u.